(1)
A relaxed Ga2SnCl6 crystal, computed with PBE.

a b c (Å): 8.7145 9.1350 9.1350
angles (deg): 84.14 70.73 70.73
With the nearest neighbours (Å) after each atom.
Sites, in units of the cell vectors:
Cl 0.7086 0.6413 0.0952  1 Ga 2.45, 1 Sn 2.63
Sn 0.2500 0.0843 0.9157  4 Cl 2.63-2.89
Cl 0.6182 0.9753 0.7766  1 Ga 2.39
Ga 0.7473 0.7594 0.6010  4 Cl 2.39-2.45
Cl 0.4763 0.3560 0.3556  2 Ga 2.41-2.43
Ga 0.2473 0.6010 0.7594  4 Cl 2.39-2.45
Cl 0.8818 0.2234 0.0247  1 Ga 2.39
Cl 0.2914 0.3587 0.9048  1 Ga 2.45, 1 Sn 2.63
Cl 0.2086 0.0952 0.6413  1 Ga 2.45, 1 Sn 2.63
Cl 0.1182 0.7766 0.9753  1 Ga 2.39
Cl 0.5237 0.6440 0.6444  2 Ga 2.41-2.43
Cl 0.9763 0.3556 0.3560  2 Ga 2.41-2.43
Cl 0.3818 0.0247 0.2234  1 Ga 2.39
Ga 0.7527 0.3990 0.2406  4 Cl 2.39-2.45
Cl 0.0237 0.6444 0.6440  2 Ga 2.41-2.43
Cl 0.7914 0.9048 0.3587  1 Ga 2.45, 1 Sn 2.63
Ga 0.2527 0.2406 0.3990  4 Cl 2.39-2.45
Sn 0.7500 0.9157 0.0843  4 Cl 2.63-2.89

Properties
For the total energy, the calculation gives -3.2280 eV per atom.


(2)
A relaxed GaSnCl5 crystal, computed with PBE.

a b c (Å): 7.2956 7.2941 10.5941
angles (deg): 107.70 108.98 95.09
With the nearest neighbours (Å) after each atom.
Sites, in units of the cell vectors:
Cl 0.6807 0.2986 0.5577  1 Ga 2.20
Cl 0.3193 0.6797 0.4282  1 Ga 2.21
Cl 0.9059 0.1928 0.2851  1 Sn 2.45
Cl 0.7485 0.6102 0.9285  1 Ga 2.21
Ga 0.5917 0.3373 0.7426  4 Cl 2.20-2.22
Sn 0.9970 0.4970 0.4913  1 Cl 2.45
Cl 0.2607 0.3780 0.0574  1 Ga 2.21
Ga 0.4064 0.6522 0.2428  4 Cl 2.21-2.22
Cl 0.2684 0.3236 0.6748  1 Ga 2.21
Cl 0.7326 0.6821 0.3151  1 Ga 2.22
Cl 0.3515 0.9081 0.1759  1 Ga 2.21
Cl 0.6346 0.0830 0.8142  1 Ga 2.22
Cl 0.0944 0.8788 0.7861  1 Sn 2.45
Sn 0.9956 0.9961 0.9914  1 Cl 2.45

Properties
For the total energy, the calculation gives -3.3780 eV per atom.


(3)
A relaxed Ga2SnCl5 crystal, computed with PBE.

a b c (Å): 3.5861 6.1891 21.7359
angles (deg): 90.00 90.00 89.19
With the nearest neighbours (Å) after each atom.
Sites, in units of the cell vectors:
Ga 0.0782 0.9871 0.6351  3 Cl 2.15-2.39
Sn 0.8947 0.8712 0.7500  1 Cl 2.41, 2 Ga 2.68
Cl 0.9122 0.2635 0.0665  1 Ga 2.15
Ga 0.9218 0.0129 0.3649  3 Cl 2.15-2.39
Cl 0.0338 0.4887 0.7500  1 Sn 2.41
Cl 0.0878 0.7365 0.5665  1 Ga 2.15
Sn 0.1053 0.1288 0.2500  1 Cl 2.41, 2 Ga 2.68
Cl 0.4375 0.7794 0.1102  2 Ga 2.34-2.39
Ga 0.9218 0.0129 0.1351  3 Cl 2.15-2.39
Ga 0.0782 0.9871 0.8649  3 Cl 2.15-2.39
Cl 0.5625 0.2206 0.8898  2 Ga 2.34-2.39
Cl 0.4375 0.7794 0.3898  2 Ga 2.34-2.39
Cl 0.9122 0.2635 0.4335  1 Ga 2.15
Cl 0.5625 0.2206 0.6102  2 Ga 2.34-2.39
Cl 0.9662 0.5113 0.2500  1 Sn 2.41
Cl 0.0878 0.7365 0.9335  1 Ga 2.15

Properties
For the total energy, the calculation gives -3.2306 eV per atom.


(4)
A relaxed Ga2Sn2Cl crystal, computed with PBE.

a b c (Å): 8.0996 8.0996 3.7920
angles (deg): 90.00 90.00 90.00
With the nearest neighbours (Å) after each atom.
Sites, in units of the cell vectors:
Ga 0.8258 0.6742 0.0000  6 Sn 2.92-3.14, 2 Cl 2.99
Sn 0.1316 0.6316 0.5000  6 Ga 2.92-3.14, 1 Sn 3.02
Ga 0.1742 0.3258 0.0000  6 Sn 2.92-3.14, 2 Cl 2.99
Sn 0.8684 0.3684 0.5000  6 Ga 2.92-3.14, 1 Sn 3.02
Sn 0.3684 0.1316 0.5000  6 Ga 2.92-3.14, 1 Sn 3.02
Cl 0.0000 0.0000 0.0000  4 Ga 2.99
Ga 0.3258 0.8258 0.0000  6 Sn 2.92-3.14, 2 Cl 2.99
Sn 0.6316 0.8684 0.5000  6 Ga 2.92-3.14, 1 Sn 3.02
Cl 0.5000 0.5000 0.0000  4 Ga 2.99
Ga 0.6742 0.1742 0.0000  6 Sn 2.92-3.14, 2 Cl 2.99

Properties
For the total energy, the calculation gives -3.2424 eV per atom. The energy above the most stable polymorph in this dataset is 56 meV per atom.


(5)
A relaxed GaSnCl3 crystal, computed with PBE.

a b c (Å): 7.6853 7.9110 7.8555
angles (deg): 120.23 120.62 90.00
With the nearest neighbours (Å) after each atom.
Sites, in units of the cell vectors:
Cl 0.2344 0.6842 0.5806  1 Sn 2.65
Sn 0.4967 0.4992 0.4975  3 Cl 2.65-2.66
Ga 0.8942 0.2969 0.0945  6 Cl 2.94-3.19
Cl 0.7344 0.8964 0.5806  1 Sn 2.65
Sn 0.9967 0.9982 0.4975  3 Cl 2.65-2.66
Cl 0.2315 0.1565 0.3356  1 Sn 2.65, 1 Ga 2.94
Cl 0.7315 0.1792 0.3356  1 Sn 2.65, 1 Ga 2.94
Cl 0.2303 0.3959 0.0479  1 Sn 2.66, 1 Ga 2.94
Cl 0.7303 0.6521 0.0479  1 Sn 2.66, 1 Ga 2.94
Ga 0.3942 0.7977 0.0945  6 Cl 2.94-3.19

Properties
For the total energy, the calculation gives -3.3953 eV per atom.


(6)
A relaxed TbGaSnCl6 crystal, computed with PBE.

a b c (Å): 6.7143 6.7143 12.7675
angles (deg): 90.00 90.00 90.00
With the nearest neighbours (Å) after each atom.
Sites, in units of the cell vectors:
Ga 0.0000 0.0000 0.0003  6 Cl 2.97-3.04
Cl 0.7190 0.7190 0.3264  1 Tb 2.67, 1 Sn 2.91
Cl 0.1961 0.8039 0.1817  1 Tb 2.68, 1 Sn 2.89, 1 Ga 2.97
Cl 0.3166 0.3166 0.9923  1 Tb 2.68, 1 Sn 2.82
Cl 0.8166 0.1834 0.4923  1 Tb 2.68, 1 Sn 2.82
Cl 0.2190 0.7810 0.8264  1 Tb 2.67, 1 Sn 2.91
Tb 0.5000 0.5000 0.8323  6 Cl 2.67-2.68
Cl 0.1834 0.8166 0.4923  1 Tb 2.68, 1 Sn 2.82
Cl 0.8039 0.1961 0.1817  1 Tb 2.68, 1 Sn 2.89, 1 Ga 2.97
Cl 0.2810 0.2810 0.3264  1 Tb 2.67, 1 Sn 2.91
Ga 0.5000 0.5000 0.5003  6 Cl 2.97-3.04
Cl 0.3039 0.3039 0.6817  1 Tb 2.68, 1 Sn 2.89, 1 Ga 2.97
Cl 0.6834 0.6834 0.9923  1 Tb 2.68, 1 Sn 2.82
Cl 0.6961 0.6961 0.6817  1 Tb 2.68, 1 Sn 2.89, 1 Ga 2.97
Sn 0.0000 0.0000 0.6666  6 Cl 2.82-2.91
Tb 0.0000 0.0000 0.3323  6 Cl 2.67-2.68
Cl 0.7810 0.2190 0.8264  1 Tb 2.67, 1 Sn 2.91
Sn 0.5000 0.5000 0.1666  6 Cl 2.82-2.91

Properties
For the total energy, the calculation gives -4.0245 eV per atom.


(7)
A relaxed TbGaSn2Cl8 crystal, computed with PBE.

a b c (Å): 6.8011 6.4903 8.6987
angles (deg): 91.10 91.47 88.73
With the nearest neighbours (Å) after each atom.
Sites, in units of the cell vectors:
Cl 0.3125 0.2445 0.0278  1 Tb 2.68, 1 Sn 2.80
Sn 0.5093 0.5032 0.7466  4 Cl 2.61-2.90
Cl 0.8559 0.2409 0.7757  1 Tb 2.68, 1 Sn 2.89
Sn 0.4907 0.4968 0.2534  4 Cl 2.61-2.90
Cl 0.1441 0.7591 0.2243  1 Tb 2.68, 1 Sn 2.89
Cl 0.3438 0.2844 0.4726  1 Sn 2.61
Tb 0.0000 0.0000 0.0000  6 Cl 2.67-2.68
Cl 0.8214 0.2109 0.2249  1 Tb 2.67, 1 Sn 2.90
Cl 0.6875 0.7555 0.9722  1 Tb 2.68, 1 Sn 2.80
Cl 0.6562 0.7156 0.5274  1 Sn 2.61
Cl 0.1786 0.7891 0.7751  1 Tb 2.67, 1 Sn 2.90
Ga 0.0000 0.0000 0.5000  6 Cl 3.00-3.03

Properties
For the total energy, the calculation gives -3.9070 eV per atom.


(8)
A relaxed GaSnTeCl crystal, computed with PBE.

a b c (Å): 5.3223 5.3223 5.3223
angles (deg): 60.00 60.00 60.00
With the nearest neighbours (Å) after each atom.
Sites, in units of the cell vectors:
Ga 0.7500 0.7500 0.7500  4 Cl 3.26, 4 Te 3.26
Sn 0.2500 0.2500 0.2500  4 Te 3.26, 4 Cl 3.26
Te 0.5000 0.5000 0.5000  4 Sn 3.26, 4 Ga 3.26
Cl 0.0000 0.0000 0.0000  4 Sn 3.26, 4 Ga 3.26

Properties
For the total energy, the calculation gives -3.3385 eV per atom.


(9)
A relaxed TiGaSnCl6 crystal, computed with PBE.

a b c (Å): 6.9444 6.9443 6.3462
angles (deg): 90.00 90.00 60.00
With the nearest neighbours (Å) after each atom.
Sites, in units of the cell vectors:
Ga 0.0000 0.0000 0.0000  6 Cl 3.08
Cl 0.0421 0.6168 0.7232  1 Ti 2.45
Cl 0.0421 0.3411 0.2767  1 Ti 2.45
Cl 0.6168 0.0421 0.2768  1 Ti 2.45
Cl 0.3411 0.0421 0.7232  1 Ti 2.45
Cl 0.6168 0.3411 0.7232  1 Ti 2.45
Sn 0.6666 0.6667 0.5000  6 Cl 2.83
Cl 0.3410 0.6168 0.2768  1 Ti 2.45
Ti 0.3333 0.3333 0.5000  6 Cl 2.45

Properties
For the total energy, the calculation gives -4.0679 eV per atom.


(10)
A relaxed Tl2GaSnCl crystal, computed with PBE.

a b c (Å): 5.5772 4.9731 5.5772
angles (deg): 90.00 90.00 90.00
With the nearest neighbours (Å) after each atom.
Sites, in units of the cell vectors:
Sn 0.5000 0.5000 0.5000  8 Tl 3.74, 4 Cl 3.94
Tl 0.5000 0.0000 0.0000  2 Ga 2.79
Tl 0.0000 0.0000 0.5000  2 Ga 2.79
Ga 0.0000 0.0000 0.0000  2 Cl 2.49
Cl 0.0000 0.5000 0.0000  2 Ga 2.49

Properties
For the total energy, the calculation gives -2.6264 eV per atom.


(11)
A relaxed YGa2SnCl crystal, computed with PBE.

a b c (Å): 5.7662 5.7662 5.9066
angles (deg): 90.00 90.00 90.00
With the nearest neighbours (Å) after each atom.
Sites, in units of the cell vectors:
Ga 0.0000 0.5000 0.0000  2 Y 2.88
Cl 0.5000 0.5000 0.5000  4 Sn 4.08, 8 Ga 4.13
Sn 0.0000 0.0000 0.5000  2 Y 2.95
Y 0.0000 0.0000 0.0000  4 Ga 2.88, 2 Sn 2.95
Ga 0.5000 0.0000 0.0000  2 Y 2.88

Properties
For the total energy, the calculation gives -3.1937 eV per atom.


(12)
A relaxed ZrGa2SnCl crystal, computed with PBE.

a b c (Å): 5.2189 5.6329 5.2189
angles (deg): 90.00 90.00 90.00
With the nearest neighbours (Å) after each atom.
Sites, in units of the cell vectors:
Zr 0.0000 0.5000 0.0000  2 Sn 2.82
Sn 0.0000 0.0000 0.0000  4 Ga 2.61, 2 Zr 2.82
Cl 0.5000 0.5000 0.5000  4 Zr 3.69, 8 Ga 3.84
Ga 0.0000 0.0000 0.5000  2 Sn 2.61
Ga 0.5000 0.0000 0.0000  2 Sn 2.61

Properties
For the total energy, the calculation gives -3.5377 eV per atom.


(13)
A relaxed SrGaCl2 crystal, computed with PBE.

a b c (Å): 9.9023 9.9023 9.9023
angles (deg): 24.92 24.92 24.92
With the nearest neighbours (Å) after each atom.
Sites, in units of the cell vectors:
Ga 0.0000 0.0000 0.0000  2 Cl 3.30
Cl 0.1148 0.1148 0.1148  3 Sr 2.88
Cl 0.8852 0.8852 0.8852  3 Sr 2.88
Sr 0.5000 0.5000 0.5000  6 Cl 2.88

Properties
For the total energy, the calculation gives -3.5193 eV per atom. The energy above the most stable polymorph in this dataset is 0 meV per atom.


(14)
A relaxed SrGa6Cl12 crystal, computed with PBE.

a b c (Å): 10.4379 10.4379 10.4379
angles (deg): 112.39 112.39 112.39
With the nearest neighbours (Å) after each atom.
Sites, in units of the cell vectors:
Cl 0.7061 0.5390 0.1988  1 Ga 2.17
Ga 0.5974 0.3243 0.4109  2 Cl 2.17-2.26
Ga 0.4109 0.5974 0.3243  2 Cl 2.17-2.26
Ga 0.3243 0.4109 0.5974  2 Cl 2.17-2.26
Ga 0.5891 0.4026 0.6757  2 Cl 2.17-2.26
Ga 0.6757 0.5891 0.4026  2 Cl 2.17-2.26
Cl 0.4610 0.8012 0.2939  1 Ga 2.17
Cl 0.6584 0.9285 0.8490  1 Ga 2.26
Cl 0.9285 0.8490 0.6584  1 Ga 2.26
Cl 0.1510 0.3416 0.0715  1 Ga 2.26
Ga 0.4026 0.6757 0.5891  2 Cl 2.17-2.26
Cl 0.3416 0.0715 0.1510  1 Ga 2.26
Cl 0.5390 0.1988 0.7061  1 Ga 2.17
Cl 0.8012 0.2939 0.4610  1 Ga 2.17
Sr 0.0000 0.0000 0.0000  6 Cl 2.92
Cl 0.8490 0.6584 0.9285  1 Ga 2.26
Cl 0.1988 0.7061 0.5390  1 Ga 2.17
Cl 0.0715 0.1510 0.3416  1 Ga 2.26
Cl 0.2939 0.4610 0.8012  1 Ga 2.17

Properties
For the total energy, the calculation gives -3.2510 eV per atom.


(15)
A relaxed SrGa2Cl8 crystal, computed with PBE.

a b c (Å): 6.6139 8.0359 8.0359
angles (deg): 69.95 80.87 80.87
With the nearest neighbours (Å) after each atom.
Sites, in units of the cell vectors:
Cl 0.7620 0.0730 0.6960  1 Ga 2.23
Cl 0.3265 0.8130 0.8130  1 Ga 2.23
Ga 0.6684 0.7974 0.7974  4 Cl 2.15-2.23
Ga 0.3316 0.2026 0.2026  4 Cl 2.15-2.23
Cl 0.8069 0.6357 0.6357  1 Ga 2.15
Cl 0.2380 0.3040 0.9270  1 Ga 2.23
Cl 0.7620 0.6960 0.0730  1 Ga 2.23
Cl 0.6735 0.1870 0.1870  1 Ga 2.23
Cl 0.1931 0.3643 0.3643  1 Ga 2.15
Sr 0.0000 0.0000 0.0000  6 Cl 2.94-2.96
Cl 0.2380 0.9270 0.3040  1 Ga 2.23

Properties
For the total energy, the calculation gives -3.5472 eV per atom. The energy above the most stable polymorph in this dataset is 17 meV per atom.


(16)
A relaxed SrGa2Cl crystal, computed with PBE.

a b c (Å): 4.0557 4.0557 13.7021
angles (deg): 81.49 81.49 90.00
With the nearest neighbours (Å) after each atom.
Sites, in units of the cell vectors:
Ga 0.8750 0.8939 0.7500  4 Ga 2.76-2.98
Cl 0.5000 0.5000 0.0000  4 Sr 2.87
Cl 0.2500 0.7500 0.5000  4 Sr 2.87
Sr 0.7500 0.2500 0.5000  4 Cl 2.87
Ga 0.1061 0.6250 0.2500  4 Ga 2.76-2.98
Sr 0.0000 0.0000 0.0000  4 Cl 2.87
Ga 0.6439 0.1250 0.2500  4 Ga 2.76-2.98
Ga 0.3750 0.3561 0.7500  4 Ga 2.76-2.98

Properties
For the total energy, the calculation gives -3.1490 eV per atom. The energy above the most stable polymorph in this dataset is 0 meV per atom.


(17)
A relaxed SrGaCl2 crystal, computed with PBE.

a b c (Å): 5.2639 5.2639 5.2639
angles (deg): 60.00 60.00 60.00
With the nearest neighbours (Å) after each atom.
Sites, in units of the cell vectors:
Sr 0.5000 0.5000 0.5000  8 Cl 3.22
Cl 0.7500 0.7500 0.7500  4 Sr 3.22, 4 Ga 3.22
Cl 0.2500 0.2500 0.2500  4 Sr 3.22, 4 Ga 3.22
Ga 0.0000 0.0000 0.0000  8 Cl 3.22

Properties
For the total energy, the calculation gives -3.3303 eV per atom. The energy above the most stable polymorph in this dataset is 189 meV per atom.


(18)
A relaxed SrGaCl3 crystal, computed with PBE.

a b c (Å): 5.3128 5.3128 5.3128
angles (deg): 90.00 90.00 90.00
With the nearest neighbours (Å) after each atom.
Sites, in units of the cell vectors:
Cl 0.0000 0.5000 0.0000  2 Ga 2.66
Cl 0.0000 0.0000 0.5000  2 Ga 2.66
Ga 0.0000 0.0000 0.0000  6 Cl 2.66
Sr 0.5000 0.5000 0.5000  12 Cl 3.76
Cl 0.5000 0.0000 0.0000  2 Ga 2.66

Properties
For the total energy, the calculation gives -3.3188 eV per atom. The energy above the most stable polymorph in this dataset is 315 meV per atom.


(19)
A relaxed SrGaCl4 crystal, computed with PBE.

a b c (Å): 6.9668 6.9668 6.1250
angles (deg): 124.66 124.66 90.00
With the nearest neighbours (Å) after each atom.
Sites, in units of the cell vectors:
Sr 0.7500 0.2500 0.5000  4 Cl 2.93
Cl 0.1881 0.1385 0.8063  1 Ga 2.48
Cl 0.6183 0.6679 0.8063  1 Ga 2.48
Cl 0.8615 0.3817 0.1937  1 Ga 2.48
Ga 0.5000 0.5000 0.0000  4 Cl 2.48
Cl 0.3321 0.8119 0.1937  1 Ga 2.48

Properties
For the total energy, the calculation gives -3.5040 eV per atom.


(20)
A relaxed SrGaCl2 crystal, computed with PBE.

a b c (Å): 7.3296 7.3296 8.3527
angles (deg): 63.98 63.98 90.00
With the nearest neighbours (Å) after each atom.
Sites, in units of the cell vectors:
Ga 0.2500 0.7500 0.5000  4 Cl 3.40
Sr 0.7500 0.2500 0.5000  4 Cl 2.79
Sr 0.0000 0.0000 0.0000  4 Cl 2.79
Cl 0.3750 0.3051 0.7500  2 Sr 2.79
Cl 0.6949 0.1250 0.2500  2 Sr 2.79
Ga 0.5000 0.5000 0.0000  4 Cl 3.40
Cl 0.8750 0.9449 0.7500  2 Sr 2.79
Cl 0.0551 0.6250 0.2500  2 Sr 2.79

Properties
For the total energy, the calculation gives -3.2768 eV per atom. The energy above the most stable polymorph in this dataset is 243 meV per atom.


(21)
A relaxed SrGa3Cl12 crystal, computed with PBE.

a b c (Å): 11.1464 11.1464 12.7593
angles (deg): 64.10 64.10 60.00
With the nearest neighbours (Å) after each atom.
Sites, in units of the cell vectors:
Cl 0.8898 0.8923 0.8331  1 Ga 2.21
Cl 0.3898 0.8848 0.3331  1 Ga 2.21
Cl 0.5040 0.4836 0.9747  1 Ga 2.17
Cl 0.3848 0.8898 0.8331  1 Ga 2.21
Ga 0.4367 0.8460 0.4994  4 Cl 2.17-2.22
Cl 0.7644 0.1157 0.0367  1 Ga 2.21
Ga 0.9367 0.7180 0.9994  4 Cl 2.17-2.22
Cl 0.4836 0.0377 0.9747  1 Ga 2.17
Cl 0.7320 0.7466 0.1483  1 Ga 2.22
Cl 0.9836 0.0040 0.4747  1 Ga 2.17
Cl 0.3923 0.3898 0.3331  1 Ga 2.21
Cl 0.0832 0.7644 0.0367  1 Ga 2.21
Ga 0.7180 0.3460 0.9994  4 Cl 2.17-2.22
Ga 0.2180 0.4367 0.4994  4 Cl 2.17-2.22
Sr 0.5547 0.5547 0.3359  9 Cl 3.09-3.18
Cl 0.2320 0.8731 0.6483  1 Ga 2.22
Cl 0.8731 0.2466 0.6483  1 Ga 2.22
Cl 0.0377 0.5040 0.9747  1 Ga 2.17
Sr 0.0547 0.0547 0.8359  9 Cl 3.09-3.18
Cl 0.5832 0.6157 0.5367  1 Ga 2.21
Cl 0.0040 0.5377 0.4747  1 Ga 2.17
Cl 0.7466 0.3731 0.1483  1 Ga 2.22
Cl 0.2466 0.2320 0.6483  1 Ga 2.22
Cl 0.5377 0.9836 0.4747  1 Ga 2.17
Cl 0.2644 0.5832 0.5367  1 Ga 2.21
Cl 0.6157 0.2644 0.5367  1 Ga 2.21
Cl 0.8923 0.3848 0.8331  1 Ga 2.21
Ga 0.8460 0.2180 0.4994  4 Cl 2.17-2.22
Cl 0.8848 0.3923 0.3331  1 Ga 2.21
Cl 0.1157 0.0832 0.0367  1 Ga 2.21
Ga 0.3460 0.9367 0.9994  4 Cl 2.17-2.22
Cl 0.3731 0.7320 0.1483  1 Ga 2.22

Properties
For the total energy, the calculation gives -3.3150 eV per atom.